Entry from Alexandria: a relaxed structure of SbIrOs2 (PBE).

Calculated values
**Total moment**: 0.00 Bohr magnetons per cell
**E_form (uncorrected)**: 0.480 eV/atom

a = 4.782 Å, b = 4.782 Å, c = 4.782 Å
α = 129.88°, β = 129.88°, γ = 73.59°
Fractional positions:
Sb1 0.000 0.000 0.000
Ir1 0.500 0.500 0.000
Os1 0.250 0.750 0.500
Os2 0.750 0.250 0.500